4
Lattice="4.7980 0.0084 0.0060 2.2844 4.2193 0.0060 2.2844 1.3636 3.9928" Properties=species:S:1:pos:R:3 comment="CdSi (PBE, optimized geometry)" crystal_system=trigonal volume_a3_per_atom=20.2 raw_formation_energy_ev_per_atom=0.51 energy_ha_per_atom=-0.098 pbc="T T T"
Cd 5.8784 3.5090 2.5134
Cd 3.4883 2.0823 1.4915
Si 8.3281 4.9714 3.5609
Si 1.0386 0.6200 0.4441

=====

14
Lattice="-2.7655 -4.4900 -4.4433 0.3896 -2.9305 6.2298 -3.9211 5.6581 0.4027" Properties=species:S:1:pos:R:3 comment="Pd5PtAu8 (PBE, optimized geometry)" crystal_system=tetragonal volume_a3_per_atom=18.0 energy_ha_per_atom=-0.148 formation_energy_ev_per_atom=0.123 pbc="T T T"
Pd -0.2975 -0.3786 1.8717
Pd -2.9374 -5.5714 1.7615
Pd -4.7102 -1.6090 1.0966
Pd -3.3433 0.5840 -2.0203
Pd -4.6488 4.0342 -0.3514
Pt -3.4374 1.6558 2.3061
Au -0.3011 -2.3080 3.7816
Au -5.0974 -0.8362 -3.4787
Au -3.4326 -2.1623 -1.5047
Au -5.1748 1.1540 0.0136
Au -2.1282 -2.7407 1.5677
Au -4.6206 -0.3287 3.6007
Au -2.5749 -0.0520 0.4749
Au -1.8584 0.2241 4.3018

=====

5
Lattice="-4.6687 2.6849 0.9998 -2.8076 -4.6683 -0.5739 0.3777 -0.6628 3.5436" Properties=species:S:1:pos:R:3 comment="LiHI2N (PBE, optimized geometry)" polymorph_energy_ev_per_atom=0.591 crystal_system=tetragonal volume_a3_per_atom=21.8 energy_ha_per_atom=-0.077 pbc="T T T"
I -1.4038 -2.3341 -0.2870
I -2.3343 1.3424 0.4999
H -3.5493 -1.3231 1.9848
Li 0.0000 0.0000 0.0000
N 0.1889 -0.3314 1.7718

=====

15
Lattice="8.3097 -0.1195 -0.1717 -4.0557 7.2467 0.1333 -4.0557 -2.3906 6.8423" Properties=species:S:1:pos:R:3 comment="Nd4Y3Se8 (PBE, optimized geometry)" polymorph_energy_ev_per_atom=0.000 crystal_system=monoclinic volume_a3_per_atom=27.0 raw_formation_energy_ev_per_atom=-1.85 energy_ha_per_atom=-0.231 pbc="T T T"
Nd 4.1548 -0.0598 -0.0859
Nd -2.0278 3.6233 0.0667
Nd 0.0000 0.0000 0.0000
Nd -2.0278 -1.1953 3.4212
Y 2.1270 3.5636 -0.0192
Y 2.1270 -1.2551 3.3353
Y 0.0991 2.3683 3.4020
Se 2.1481 1.2031 1.7283
Se -4.0557 4.7783 1.8517
Se -2.0396 1.2617 1.8125
Se 0.0991 4.7384 1.7520
Se 0.0991 -0.0019 5.0520
Se 2.2379 3.4748 4.9915
Se -4.0557 0.0778 5.1240
Se -1.9499 3.5334 5.0757